Run P
GaCS2Cl | PBE | optimized geometry

abc: 3.932 3.932 7.342
angles: 90.00 90.00 90.00
Atoms (fractional coordinates):
Ga  0.000  0.000  0.000
C  0.500  0.500  0.500
S  0.000  0.500  0.500
S  0.500  0.000  0.500
Cl  0.500  0.500  0.000

spin magnetization: 0.0 μB per cell

***

Run Q
GaCS2Cl | PBE | optimized geometry

abc: 4.738 4.738 4.639
angles: 90.00 90.00 90.00
Atoms (fractional coordinates):
Ga  0.000  0.000  0.000
C  0.500  0.500  0.500
S  0.000  0.500  0.000
S  0.500  0.000  0.000
Cl  0.000  0.000  0.500

spin magnetization: 0.0 μB per cell

***

Stability check: which of them is most stable? run P.